# CaHg2Se, relaxed, DFT GGA-PBE
# - ΔE_f (raw): -0.818 eV per atom
# - E_tot: -2.340 eV per atom
data_CaHg2Se
_cell_length_a 4.061
_cell_length_b 4.063
_cell_length_c 8.340
_cell_angle_alpha 76.43
_cell_angle_beta 76.31
_cell_angle_gamma 89.97
_space_group_name_H-M_alt 'P 1'
_space_group_IT_number 1
_space_group_name_Hall 'P 1'
loop_
_atom_site_label
_atom_site_type_symbol
_atom_site_fract_x
_atom_site_fract_y
_atom_site_fract_z
Ca1 Ca 0.000 0.000 0.000
Hg1 Hg 0.557 0.932 0.397
Hg2 Hg 0.957 0.334 0.603
Se1 Se 0.498 0.501 0.000